This record from the Alexandria database describes a relaxed structure of InFe2O4. The functional is GGA+U.

The electronic total energy comes out at -6.249 eV per atom. The calculation puts the density of states at the Fermi level at 6.6 states/eV/cell. The calculated volume comes out at 261.3 Å³/cell.

The structure belongs to space group R-3m (No. 166, hexagonal axes); the cell edges are 3.4025, 3.4025 and 26.0631 Å and the angles 90.00°, 90.00° and 120.00°. The inequivalent atoms are In at (0.0000, 0.0000, 0.0000), Fe at (0.0000, 0.0000, 0.2150), O at (0.0000, 0.0000, 0.1296) and O at (0.0000, 0.0000, 0.2921).